Version w
Entry from Alexandria: a relaxed YSb3 crystal (PBE).

```
YSb3
1.0
4.208 0.000 0.000
0.000 4.193 0.000
-1.147 0.000 6.302
Y Sb
1 3
Cartesian
0.000 0.000 0.000
-0.574 0.000 3.151
1.076 2.097 4.802
1.985 2.097 1.500
```

Summary:
Total magnetic moment   0.00 μB/cell
ρ   6.8 Mg/m³
Space-group type   P2/m, No. 10

Version x
Entry from Alexandria: a relaxed YSb3 crystal (PBE).

```
YSb3
1.0
8.511 0.000 0.000
0.000 8.774 0.000
0.000 0.000 6.225
Y Sb
4 12
Cartesian
0.493 2.193 0.700
3.762 6.580 3.813
4.748 2.193 2.412
8.017 6.580 5.524
0.361 6.580 2.428
2.044 4.489 5.438
2.044 8.671 5.438
2.211 0.102 2.326
2.211 4.285 2.326
3.895 2.193 5.541
4.616 6.580 0.684
6.300 4.489 3.899
6.300 8.671 3.899
6.466 0.102 0.787
6.466 4.285 0.787
8.150 2.193 3.796
```

Summary:
Total magnetic moment   0.00 μB/cell
ρ   6.5 Mg/m³
Space-group type   Pnma, No. 62

Version y
Entry from Alexandria: a relaxed YSb3 crystal (PBE).

```
YSb3
1.0
5.152 2.974 1.197
-5.152 2.974 1.197
0.000 -5.949 1.197
Y Sb
1 3
Cartesian
0.000 0.000 0.000
-2.576 -1.487 1.197
-2.576 1.487 2.395
0.000 2.974 1.197
```

Summary:
Total magnetic moment   0.00 μB/cell
ρ   6.9 Mg/m³
Space-group type   R-3m, No. 166

Version z
Entry from Alexandria: a relaxed YSb3 crystal (PBE).

```
YSb3
1.0
4.777 0.000 0.000
0.000 4.777 0.000
0.000 0.000 4.777
Y Sb
1 3
Cartesian
0.000 0.000 0.000
0.000 2.389 2.389
2.389 0.000 2.389
2.389 2.389 0.000
```

Summary:
Total magnetic moment   0.00 μB/cell
ρ   6.9 Mg/m³
Space-group type   Pm-3m, No. 221

Which of them is most stable, and which least? Most stable: version x; least stable: version y.

Version w
Entry from Alexandria: a relaxed YSb3 crystal (PBE).

```
YSb3
1.0
0.000 3.822 3.822
3.822 0.000 3.822
3.822 3.822 0.000
Y Sb
1 3
Cartesian
0.000 0.000 0.000
1.911 1.911 1.911
3.822 3.822 3.822
5.732 5.732 5.732
```

Summary:
Total magnetic moment   0.00 μB/cell
ρ   6.8 Mg/m³
Space-group type   Fm-3m, No. 225

Version x
Entry from Alexandria: a relaxed YSb3 crystal (PBE).

```
YSb3
1.0
1.712 0.988 10.911
-1.712 0.988 10.911
0.000 -1.977 10.911
Y Sb
1 3
Cartesian
0.000 0.000 0.000
0.000 0.000 8.324
0.000 0.000 16.367
0.000 0.000 24.410
```

Summary:
Total magnetic moment   0.00 μB/cell
ρ   6.8 Mg/m³
Space-group type   R-3m, No. 166

Version y
Entry from Alexandria: a relaxed YSb3 crystal (PBE).

```
YSb3
1.0
3.331 -4.116 0.000
3.331 4.116 0.000
0.000 0.000 3.966
Y Sb
1 3
Cartesian
0.000 0.000 0.000
1.665 2.058 1.983
1.665 -2.058 1.983
3.331 0.000 0.000
```

Summary:
Total magnetic moment   0.00 μB/cell
ρ   6.9 Mg/m³
Space-group type   Cmmm, No. 65

Version z
Entry from Alexandria: a relaxed YSb3 crystal (PBE).

```
YSb3
1.0
2.236 -2.897 0.000
2.236 2.897 0.000
0.000 0.000 8.626
Y Sb
1 3
Cartesian
0.000 0.000 0.000
0.000 0.000 4.313
2.236 0.000 2.081
2.236 0.000 6.544
```

Summary:
Total magnetic moment   0.00 μB/cell
ρ   6.7 Mg/m³
Space-group type   Cmmm, No. 65

Which of them is most stable, and which least? Most stable: version y; least stable: version x.